(1)
Below is a geometry-optimized PuTcHgO6 structure, with properties calculated at the GGA-PBE level.

Structure (CIF):
```
data_PuTcHgO6
_chemical_formula_sum 'Pu2 Tc2 Hg2 O12'
_symmetry_space_group_name_H-M 'P -3 1 c'
_symmetry_Int_Tables_number 163
_symmetry_space_group_name_Hall '-P 3 2c'
_cell_length_a 5.4702
_cell_length_b 5.4702
_cell_length_c 9.8552
_cell_angle_alpha 90.00
_cell_angle_beta 90.00
_cell_angle_gamma 120.00
loop_
_atom_site_label
_atom_site_type_symbol
_atom_site_fract_x
_atom_site_fract_y
_atom_site_fract_z
Pu1 Pu 0.3333 0.6667 0.2500
Tc1 Tc 0.3333 0.6667 0.7500
Hg1 Hg 0.0000 0.0000 0.0000
O1 O 0.0238 0.3764 0.6398
```

Values from the calculation:
The formation energy without anion corrections is -14.5 eV/f.u.



(2)
Below is a geometry-optimized LiGdCdHg structure, with properties calculated at the GGA-PBE level.

Structure (CIF):
```
data_LiGdCdHg
_chemical_formula_sum 'Li4 Gd4 Cd4 Hg4'
_symmetry_space_group_name_H-M 'F -4 3 m'
_symmetry_Int_Tables_number 216
_symmetry_space_group_name_Hall 'F -4 2 3'
_cell_length_a 7.1728
_cell_length_b 7.1728
_cell_length_c 7.1728
_cell_angle_alpha 90.00
_cell_angle_beta 90.00
_cell_angle_gamma 90.00
loop_
_atom_site_label
_atom_site_type_symbol
_atom_site_fract_x
_atom_site_fract_y
_atom_site_fract_z
Li1 Li 0.0000 0.0000 0.0000
Gd1 Gd 0.0000 0.0000 0.5000
Cd1 Cd 0.2500 0.2500 0.7500
Hg1 Hg 0.2500 0.2500 0.2500
```

Values from the calculation:
The calculation puts the formation energy at -1.41 eV/f.u.



(3)
Below is a geometry-optimized DyNiHg structure, with properties calculated at the GGA-PBE level.

Structure (CIF):
```
data_DyNiHg
_chemical_formula_sum 'Dy2 Ni2 Hg2'
_symmetry_space_group_name_H-M 'I 4 m m'
_symmetry_Int_Tables_number 107
_symmetry_space_group_name_Hall 'I 4 -2'
_cell_length_a 3.5765
_cell_length_b 3.5765
_cell_length_c 9.4138
_cell_angle_alpha 90.00
_cell_angle_beta 90.00
_cell_angle_gamma 90.00
loop_
_atom_site_label
_atom_site_type_symbol
_atom_site_fract_x
_atom_site_fract_y
_atom_site_fract_z
Dy1 Dy 0.0000 0.0000 0.0000
Ni1 Ni 0.0000 0.0000 0.3502
Hg1 Hg 0.0000 0.0000 0.6890
```

Values from the calculation:
The calculation puts the formation energy at -0.92 eV/f.u.



(4)
Below is a geometry-optimized TcOs2Pt structure, with properties calculated at the GGA-PBE level.

Structure (CIF):
```
data_TcOs2Pt
_chemical_formula_sum 'Tc2 Os4 Pt2'
_symmetry_space_group_name_H-M 'C 1 m 1'
_symmetry_Int_Tables_number 8
_cell_length_a 9.1527
_cell_length_b 2.7342
_cell_length_c 4.7574
_cell_angle_alpha 90.00
_cell_angle_beta 99.79
_cell_angle_gamma 90.00
loop_
_symmetry_equiv_pos_as_xyz
'x,y,z'
'x,-y,z'
'x+1/2,y+1/2,z'
'x+1/2,-y+1/2,z'
loop_
_atom_site_label
_atom_site_type_symbol
_atom_site_fract_x
_atom_site_fract_y
_atom_site_fract_z
Tc1 Tc 0.0000 0.0000 0.0000
Os1 Os 0.0105 0.5000 0.5252
Os2 Os 0.2535 0.0000 0.7539
Pt1 Pt 0.2545 0.5000 0.2563
```

Values from the calculation:
The calculation puts the formation energy at 0.25 eV/f.u.



(5)
Below is a geometry-optimized HfTe3W structure, with properties calculated at the GGA-PBE level.

Structure (CIF):
```
data_HfTe3W
_chemical_formula_sum 'Hf1 Te3 W1'
_symmetry_space_group_name_H-M 'P m -3 m'
_symmetry_Int_Tables_number 221
_symmetry_space_group_name_Hall '-P 4 2 3'
_cell_length_a 5.5014
_cell_length_b 5.5014
_cell_length_c 5.5014
_cell_angle_alpha 90.00
_cell_angle_beta 90.00
_cell_angle_gamma 90.00
loop_
_atom_site_label
_atom_site_type_symbol
_atom_site_fract_x
_atom_site_fract_y
_atom_site_fract_z
Hf1 Hf 0.0000 0.0000 0.0000
Te1 Te 0.0000 0.0000 0.5000
W1 W 0.5000 0.5000 0.5000
```

Values from the calculation:
The formation energy without anion corrections is 5.3 eV/f.u.



(6)
Below is a geometry-optimized Pm3Pu2NbN6 structure, with properties calculated at the GGA-PBE level.

Structure (CIF):
```
data_Pm3Pu2NbN6
_chemical_formula_sum 'Pm6 Pu4 Nb2 N12'
_symmetry_space_group_name_H-M 'C 1 2/m 1'
_symmetry_Int_Tables_number 12
_cell_length_a 5.9865
_cell_length_b 10.3584
_cell_length_c 6.0154
_cell_angle_alpha 90.00
_cell_angle_beta 109.28
_cell_angle_gamma 90.00
loop_
_symmetry_equiv_pos_as_xyz
'x,y,z'
'-x,-y,-z'
'-x,y,-z'
'x,-y,z'
'x+1/2,y+1/2,z'
'-x+1/2,-y+1/2,-z'
'-x+1/2,y+1/2,-z'
'x+1/2,-y+1/2,z'
loop_
_atom_site_label
_atom_site_type_symbol
_atom_site_fract_x
_atom_site_fract_y
_atom_site_fract_z
Pm1 Pm 0.0000 0.0000 0.0000
Pm2 Pm 0.0000 0.3345 0.0000
Pu1 Pu 0.0000 0.1667 0.5000
Nb1 Nb 0.0000 0.5000 0.5000
N1 N 0.2328 0.3401 0.7177
N2 N 0.2463 0.5000 0.2772
```

Values from the calculation:
The formation energy without anion corrections is -15.9 eV/f.u.



(7)
Below is a geometry-optimized NdSmMgAu structure, with properties calculated at the GGA-PBE level.

Structure (CIF):
```
data_NdSmMgAu
_chemical_formula_sum 'Nd1 Sm1 Mg1 Au1'
_symmetry_space_group_name_H-M 'P 4 m m'
_symmetry_Int_Tables_number 99
_cell_length_a 3.7957
_cell_length_b 3.7957
_cell_length_c 7.4331
_cell_angle_alpha 90.00
_cell_angle_beta 90.00
_cell_angle_gamma 90.00
loop_
_symmetry_equiv_pos_as_xyz
'x,y,z'
'-y,x,z'
'-x,-y,z'
'y,-x,z'
'-x,y,z'
'y,x,z'
'x,-y,z'
'-y,-x,z'
loop_
_atom_site_label
_atom_site_type_symbol
_atom_site_fract_x
_atom_site_fract_y
_atom_site_fract_z
Nd1 Nd 0.0000 0.0000 0.0000
Sm1 Sm 0.0000 0.0000 0.4718
Mg1 Mg 0.5000 0.5000 0.7324
Au1 Au 0.5000 0.5000 0.2460
```

Values from the calculation:
The calculation puts the formation energy at -1.76 eV/f.u.



(8)
Below is a geometry-optimized DyHo2ScO6 structure, with properties calculated at the GGA-PBE level.

Structure (CIF):
```
data_DyHo2ScO6
_chemical_formula_sum 'Dy3 Ho6 Sc3 O18'
_symmetry_space_group_name_H-M 'R 3'
_symmetry_Int_Tables_number 146
_symmetry_space_group_name_Hall 'R 3'
_cell_length_a 5.6876
_cell_length_b 5.6876
_cell_length_c 14.9049
_cell_angle_alpha 90.00
_cell_angle_beta 90.00
_cell_angle_gamma 120.00
loop_
_atom_site_label
_atom_site_type_symbol
_atom_site_fract_x
_atom_site_fract_y
_atom_site_fract_z
Dy1 Dy 0.0000 0.0000 0.0000
Ho1 Ho 0.0000 0.0000 0.2797
Ho2 Ho 0.0000 0.0000 0.7825
Sc1 Sc 0.0000 0.0000 0.4943
O1 O 0.0429 0.3534 0.5567
O2 O 0.0494 0.6707 0.0598
```

Values from the calculation:
The formation energy without anion corrections is -35.4 eV/f.u.



(9)
Below is a geometry-optimized LiMn2Pb structure, with properties calculated at the GGA-PBE level.

Structure (CIF):
```
data_LiMn2Pb
_chemical_formula_sum 'Li2 Mn4 Pb2'
_symmetry_space_group_name_H-M 'I 4/m m m'
_symmetry_Int_Tables_number 139
_symmetry_space_group_name_Hall '-I 4 2'
_cell_length_a 3.9787
_cell_length_b 3.9787
_cell_length_c 8.2489
_cell_angle_alpha 90.00
_cell_angle_beta 90.00
_cell_angle_gamma 90.00
loop_
_atom_site_label
_atom_site_type_symbol
_atom_site_fract_x
_atom_site_fract_y
_atom_site_fract_z
Li1 Li 0.0000 0.0000 0.0000
Mn1 Mn 0.0000 0.5000 0.2500
Pb1 Pb 0.0000 0.0000 0.5000
```

Values from the calculation:
The calculation puts the formation energy at 1.17 eV/f.u.



(10)
Below is a geometry-optimized KLaTe2 structure, with properties calculated at the GGA-PBE level.

Structure (CIF):
```
data_KLaTe2
_chemical_formula_sum 'K1 La1 Te2'
_symmetry_space_group_name_H-M 'P 4/m m m'
_symmetry_Int_Tables_number 123
_symmetry_space_group_name_Hall '-P 4 2'
_cell_length_a 4.0375
_cell_length_b 4.0375
_cell_length_c 8.5657
_cell_angle_alpha 90.00
_cell_angle_beta 90.00
_cell_angle_gamma 90.00
loop_
_atom_site_label
_atom_site_type_symbol
_atom_site_fract_x
_atom_site_fract_y
_atom_site_fract_z
K1 K 0.0000 0.0000 0.0000
La1 La 0.0000 0.0000 0.5000
Te1 Te 0.5000 0.5000 0.2828
```

Values from the calculation:
The formation energy without anion corrections is -5.4 eV/f.u.



no.,ρ (g/cm³)
1,8.30
2,8.59
3,11.63
4,19.07
5,7.43
6,10.37
7,8.00
8,7.56
9,8.24
10,5.15